DFT (GGA-PBE) results for a geometry-optimized RbAuSe2O8 structure.

a b c (Å): 6.347 6.347 7.798
angles (deg): 63.90 63.90 49.99
Positions (direct):
O 0.151 0.151 0.334
O 0.333 0.333 0.928
O 0.369 0.870 0.794
O 0.667 0.667 0.072
O 0.849 0.849 0.666
O 0.870 0.369 0.794
O 0.631 0.130 0.206
O 0.130 0.631 0.206
Au 0.000 0.000 0.000
Se 0.696 0.696 0.846
Se 0.304 0.304 0.154
Rb 0.500 0.500 0.500

Calculated values
The space-group type is C2/m (12). The value obtained for the uncorrected formation energy is -695 meV/atom. The calculation puts the total magnetization at 0.0 μB/cell.